First-principles (GGA-PBE) data for an optimized crystal structure of ScZnBiRu2, as listed in Alexandria.

The energy of formation from the pure elements is 1.017 eV/atom.

The space group is P4/mmm (No. 123) and the conventional cell measures 4.685, 4.685 and 4.961 Å, with angles of 90.00, 90.00 and 90.00 degrees. The asymmetric unit holds Sc at (0.000, 0.000, 0.000), Zn at (0.000, 0.000, 0.500), Bi at (0.500, 0.500, 0.500) and Ru at (0.000, 0.500, 0.000).